[1]
A plane-wave DFT calculation with GGA-PBE was carried out for a geometry-optimized Pm5DyHo4 structure.

a = 3.5522 Å, b = 11.4684 Å, c = 8.7210 Å
α = 71.51°, β = 101.75°, γ = 90.02°
With the nearest neighbours (Å) after each atom.
Sites, in units of the cell vectors:
Dy  0.5000  0.0000  0.0000  6 Ho 3.36-3.63, 4 Pm 3.53, 2 Dy 3.55
Pm  0.1885  0.9232  0.3770  4 Ho 3.36-3.54, 2 Dy 3.53, 4 Pm 3.55-3.61
Ho  0.0828  0.7096  0.1660  6 Pm 3.48-3.78, 4 Ho 3.51-3.55, 2 Dy 3.63
Ho  0.6044  0.2031  0.2088  6 Pm 3.29-3.63, 1 Dy 3.36, 4 Ho 3.51-3.55
Pm  0.8115  0.0768  0.6230  4 Ho 3.36-3.54, 2 Dy 3.53, 4 Pm 3.55-3.61
Pm  0.5000  0.5000  0.0000  6 Ho 3.29-3.63, 2 Pm 3.55
Pm  0.2106  0.3842  0.4210  8 Pm 3.55-3.84, 5 Ho 3.63-3.78
Ho  0.3956  0.7969  0.7912  6 Pm 3.29-3.63, 1 Dy 3.36, 4 Ho 3.51-3.55
Pm  0.7894  0.6158  0.5790  8 Pm 3.55-3.84, 5 Ho 3.63-3.78
Ho  0.9172  0.2904  0.8340  6 Pm 3.48-3.78, 4 Ho 3.51-3.55, 2 Dy 3.63

DOS at the Fermi energy   13.543 states/eV/f.u.
ΔH_f (0 K)   36 meV per atom
Polymorph energy (0 for the lowest one)   0.000 eV/atom

=====

[2]
A plane-wave DFT calculation with GGA-PBE was carried out for a geometry-optimized InBiRhPb2 structure.

a = 5.3322 Å, b = 5.3322 Å, c = 5.1806 Å
α = 90.00°, β = 90.00°, γ = 90.00°
With the nearest neighbours (Å) after each atom.
Sites, in units of the cell vectors:
Pb  0.0000  0.5000  0.0000  2 Rh 2.67
Pb  0.5000  0.0000  0.0000  2 Rh 2.67
Bi  0.5000  0.5000  0.5000  8 Pb 3.72, 4 In 3.77
Rh  0.0000  0.0000  0.0000  2 In 2.59, 4 Pb 2.67
In  0.0000  0.0000  0.5000  2 Rh 2.59

DOS at the Fermi energy   3.789 states/eV/f.u.
ΔH_f (0 K)   24 meV per atom

=====

[3]
A plane-wave DFT calculation with GGA-PBE was carried out for a geometry-optimized NbGe2Mo2 structure.

a = 7.0118 Å, b = 7.0118 Å, c = 3.2653 Å
α = 90.00°, β = 90.00°, γ = 90.00°
With the nearest neighbours (Å) after each atom.
Sites, in units of the cell vectors:
Ge  0.8567  0.6433  0.0000  6 Mo 2.61-2.64, 2 Nb 2.70, 1 Ge 2.84
Ge  0.1433  0.3567  0.0000  6 Mo 2.61-2.64, 2 Nb 2.70, 1 Ge 2.84
Mo  0.8483  0.3483  0.5000  6 Ge 2.61-2.64
Mo  0.3483  0.1517  0.5000  6 Ge 2.61-2.64
Mo  0.6517  0.8483  0.5000  6 Ge 2.61-2.64
Ge  0.3567  0.8567  0.0000  6 Mo 2.61-2.64, 2 Nb 2.70, 1 Ge 2.84
Nb  0.5000  0.5000  0.0000  4 Ge 2.70
Nb  0.0000  0.0000  0.0000  4 Ge 2.70
Ge  0.6433  0.1433  0.0000  6 Mo 2.61-2.64, 2 Nb 2.70, 1 Ge 2.84
Mo  0.1517  0.6517  0.5000  6 Ge 2.61-2.64

DOS at the Fermi energy   3.675 states/eV/f.u.
ΔH_f (0 K)   -97 meV per atom

=====

[4]
A plane-wave DFT calculation with GGA-PBE was carried out for a geometry-optimized Er2ZnSi4Pd3 structure.

a = 4.0199 Å, b = 4.0199 Å, c = 10.5897 Å
α = 90.00°, β = 90.00°, γ = 90.00°
With the nearest neighbours (Å) after each atom.
Sites, in units of the cell vectors:
Pd  0.0000  0.5000  0.1321  5 Si 2.40-2.45
Si  0.0000  0.0000  0.0000  4 Pd 2.45
Pd  0.0000  0.0000  0.5000  4 Si 2.51
Zn  0.5000  0.5000  0.5000  4 Si 2.51
Er  0.5000  0.0000  0.2558  8 Si 3.04-3.37, 6 Pd 3.13-3.28, 2 Zn 3.28
Si  0.0000  0.5000  0.3585  3 Pd 2.40-2.51, 2 Zn 2.51
Si  0.5000  0.5000  0.0000  4 Pd 2.45
Si  0.5000  0.0000  0.6415  3 Pd 2.40-2.51, 2 Zn 2.51
Pd  0.5000  0.0000  0.8679  5 Si 2.40-2.45
Er  0.0000  0.5000  0.7442  8 Si 3.04-3.37, 6 Pd 3.13-3.28, 2 Zn 3.28

DOS at the Fermi energy   3.449 states/eV/f.u.
E_form (uncorrected)   -7.67 eV per formula unit